A relaxed CaNdEuSn crystal. Source: the Alexandria database, functional PBE.

Cell and atoms, written as CIF:
```
data_CaNdEuSn
_cell_length_a 7.963
_cell_length_b 7.963
_cell_length_c 7.963
_cell_angle_alpha 90.00
_cell_angle_beta 90.00
_cell_angle_gamma 90.00
_symmetry_space_group_name_H-M 'F -4 3 m'
_symmetry_Int_Tables_number 216
_symmetry_space_group_name_Hall 'F -4 2 3'
loop_
_atom_site_label
_atom_site_type_symbol
_atom_site_fract_x
_atom_site_fract_y
_atom_site_fract_z
Ca1 Ca 0.000 0.000 0.000
Nd1 Nd 0.250 0.250 0.750
Eu1 Eu 0.250 0.250 0.250
Sn1 Sn 0.000 0.000 0.500
```

The value obtained for the magnetization is 7.29 μB per formula unit. The total energy is -89.00 eV for the cell shown. The formation energy is -301 meV/atom.